Here is a relaxed structure of Mn23FeO32 from the Alexandria database. Energies are from GGA+U.

Computed properties:
As for the volume: 11.61 Å³ per atom. As for the energy: -7.555 eV/atom. The calculation puts the size of the total moment at 96.9 μB per formula unit.

a = 6.210 Å, b = 10.467 Å, c = 10.486 Å
α = 106.69°, β = 93.23°, γ = 92.83°
Each line ends with the local moment (μB).
Atoms (fractional coordinates):
O 0.514 0.141 0.376  -0.01
Mn 0.246 0.750 0.001  2.11
Mn 0.503 0.558 0.186  4.58
Mn 0.251 0.250 0.499  3.99
Mn 0.248 0.749 0.500  3.98
Mn 0.749 0.750 0.501  3.99
O 0.724 0.630 0.616  -0.01
O 0.483 0.649 0.884  -0.06
O 0.231 0.862 0.377  -0.01
Mn 0.513 0.247 0.246  3.98
Mn 0.255 0.249 0.998  2.13
O 0.227 0.362 0.876  0.01
O 0.735 0.363 0.377  -0.01
O 0.290 0.130 0.117  0.04
Mn 0.745 0.751 0.002  2.13
Mn 0.000 0.500 0.000  4.00
Mn 0.754 0.250 0.999  2.11
O 0.773 0.872 0.387  -0.01
Mn 0.004 0.748 0.248  3.98
Mn 0.996 0.252 0.752  3.98
O 0.773 0.638 0.124  0.01
O 0.990 0.359 0.623  -0.01
Mn 0.498 0.065 0.691  4.57
O 0.978 0.638 0.899  -0.05
O 0.517 0.351 0.116  -0.06
O 0.512 0.861 0.103  0.06
O 0.010 0.641 0.377  -0.01
O 0.258 0.873 0.892  0.14
Mn 0.000 0.000 0.500  3.99
Mn 0.487 0.753 0.754  3.98
O 0.769 0.138 0.623  -0.01
Mn 0.988 0.942 0.815  4.59
O 0.227 0.128 0.613  -0.01
O 0.486 0.859 0.624  -0.01
Fe 0.500 0.000 0.000  4.37
O 0.012 0.127 0.391  -0.01
O 0.988 0.873 0.609  -0.01
O 0.710 0.870 0.883  0.04
O 0.509 0.627 0.392  -0.01
O 0.488 0.139 0.897  0.06
O 0.265 0.637 0.623  -0.01
O 0.232 0.624 0.108  0.01
O 0.742 0.127 0.108  0.14
Mn 0.752 0.251 0.500  3.98
O 0.768 0.376 0.892  0.01
Mn 0.005 0.435 0.307  4.57
O 0.012 0.852 0.117  -0.06
Mn 0.497 0.442 0.814  4.58
O 0.491 0.373 0.608  -0.01
Mn 0.502 0.935 0.309  4.57
O 0.276 0.370 0.384  -0.01
Mn 0.500 0.500 0.500  3.99
O 0.022 0.362 0.101  -0.05
Mn 0.012 0.058 0.185  4.59
Mn 0.995 0.565 0.693  4.57
O 0.988 0.148 0.883  -0.06